1.
Here is a relaxed structure of Ba3Tl7Ag2 from Alexandria via LeMat-Bulk. Energies are from PBE.

Cell and atoms, written as extended XYZ:
```
12
Lattice="5.089 0.000 0.000 0.000 5.149 -0.850 0.000 -0.096 15.173" Properties=species:S:1:pos:R:3 pbc="T T T"
Ba 2.545 2.575 -0.425
Ba 0.000 0.870 5.197
Ba 0.000 4.183 9.127
Tl 2.545 3.685 6.167
Tl 2.545 1.368 8.157
Tl 0.000 2.961 1.964
Tl 0.000 0.000 0.000
Tl 0.000 2.092 12.360
Tl 2.545 4.659 11.943
Tl 2.545 0.394 2.381
Ag 2.545 3.207 3.394
Ag 2.545 1.846 10.930
```

2.
Here is a relaxed structure of BaTlAg from Alexandria via LeMat-Bulk. Energies are from PBE.

Cell and atoms, written as extended XYZ:
```
6
Lattice="5.078 0.000 0.000 2.539 5.753 -0.291 2.539 1.145 6.510" Properties=species:S:1:pos:R:3 pbc="T T T"
Tl 2.539 1.639 0.595
Tl 7.617 5.259 5.623
Ag 5.078 2.703 1.870
Ag 5.078 4.195 4.349
Ba 7.617 5.031 1.738
Ba 2.539 1.866 4.481
```

Number 1: magnetization 0.0 Bohr magnetons per cell, D(E_F) 7.20 states/eV/cell, final energy -2.574 eV per atom. Number 2: magnetization 0.0 Bohr magnetons per cell, D(E_F) 3.10 states/eV/cell, final energy -2.676 eV per atom.